# ErThZn2 (PBE, optimized geometry)
data_ErThZn2
_chemical_formula_sum 'Er3 Th3 Zn6'
_symmetry_space_group_name_H-M 'R -3 m'
_symmetry_Int_Tables_number 166
_symmetry_space_group_name_Hall '-R 3 2"'
_cell_length_a 3.5482
_cell_length_b 3.5482
_cell_length_c 27.6348
_cell_angle_alpha 90.00
_cell_angle_beta 90.00
_cell_angle_gamma 120.00
loop_
_atom_site_label
_atom_site_type_symbol
_atom_site_fract_x
_atom_site_fract_y
_atom_site_fract_z
Er1 Er 0.0000 0.0000 0.0000
Th1 Th 0.0000 0.0000 0.5000
Zn1 Zn 0.0000 0.0000 0.2542
# - E_tot (eV per cell) = -44.37
# - E_form (eV per atom) = -0.06

=====

# Er4ThZn (PBE, optimized geometry)
data_Er4ThZn
_chemical_formula_sum 'Er4 Th1 Zn1'
_symmetry_space_group_name_H-M 'P 4/m m m'
_symmetry_Int_Tables_number 123
_symmetry_space_group_name_Hall '-P 4 2'
_cell_length_a 3.542
_cell_length_b 3.542
_cell_length_c 13.553
_cell_angle_alpha 90.00
_cell_angle_beta 90.00
_cell_angle_gamma 90.00
loop_
_atom_site_label
_atom_site_type_symbol
_atom_site_fract_x
_atom_site_fract_y
_atom_site_fract_z
Er1 Er 0.000 0.000 0.128
Er2 Er 0.500 0.500 0.320
Th1 Th 0.000 0.000 0.500
Zn1 Zn 0.500 0.500 0.000
# - E_tot (eV per cell) = -27.54
# - E_form (eV per atom) = -0.10

=====

# ErThZn2 (PBE, optimized geometry)
data_ErThZn2
_chemical_formula_sum 'Er2 Th2 Zn4'
_symmetry_space_group_name_H-M 'P m m a'
_symmetry_Int_Tables_number 51
_symmetry_space_group_name_Hall '-P 2a 2a'
_cell_length_a 5.074
_cell_length_b 3.587
_cell_length_c 10.272
_cell_angle_alpha 90.00
_cell_angle_beta 90.00
_cell_angle_gamma 90.00
loop_
_atom_site_label
_atom_site_type_symbol
_atom_site_fract_x
_atom_site_fract_y
_atom_site_fract_z
Er1 Er 0.250 0.000 0.119
Th1 Th 0.250 0.000 0.621
Zn1 Zn 0.250 0.500 0.356
Zn2 Zn 0.250 0.500 0.879
# - E_tot (eV per cell) = -31.06
# - E_form (eV per atom) = -0.25